(1)
{
  "formula": "TcNi2Au",
  "functional": "SCAN",
  "state": "single point on PBEsol structure",
  "lattice_angstrom": [[2.654, 0.000, 0.000], [0.000, 2.654, 0.000], [0.000, 0.000, 7.321]],
  "species": ["Tc", "Ni", "Ni", "Au"],
  "fractional_positions": [[0.000, 0.000, 0.000], [0.500, 0.500, 0.234], [0.500, 0.500, 0.766], [0.000, 0.000, 0.500]],
  "sg": "P4/mmm",
  "magmom_total_mub_per_cell": 0.0,
  "delta_e_f_ev_per_atom": 0.06,
  "crystal_system": "tetragonal",
  "energy_ev_per_atom": -34.081
}

---

(2)
{
  "formula": "Ho2OsRh",
  "functional": "SCAN",
  "state": "single point on PBEsol structure",
  "lattice_angstrom": [[0.000, 3.343, 3.343], [3.343, 0.000, 3.343], [3.343, 3.343, 0.000]],
  "species": ["Ho", "Ho", "Os", "Rh"],
  "fractional_positions": [[0.250, 0.250, 0.250], [0.750, 0.750, 0.750], [0.000, 0.000, 0.000], [0.500, 0.500, 0.500]],
  "sg": "Fm-3m",
  "magmom_total_mub_per_cell": 0.0,
  "delta_e_f_ev_per_atom": -0.67,
  "crystal_system": "cubic",
  "energy_ev_per_atom": -51.576
}